1.
This record from the Alexandria database describes a relaxed Tb2EuHf crystal. The functional is PBE-GGA.

The space group is P4/mmm (No. 123) and the conventional cell measures 3.461, 3.461 and 10.247 Å, with angles of 90.00, 90.00 and 90.00 degrees. The inequivalent atoms are Tb at (0.000, 0.000, 0.216), Eu at (0.500, 0.500, 0.500) and Hf at (0.500, 0.500, 0.000).

As for the energy: -7.242 eV/atom. As for the density of states at the Fermi level: 1.52 states/eV/atom. Its mass density is 8.8 g/cm³.


2.
This record from the Alexandria database describes a relaxed Zn4TcNi crystal. The functional is PBE-GGA.

The space group is F-43m (No. 216) and the conventional cell measures 6.901, 6.901 and 6.901 Å, with angles of 90.00, 90.00 and 90.00 degrees. The inequivalent atoms are Zn at (0.125, 0.125, 0.125), Tc at (0.250, 0.250, 0.750) and Ni at (0.000, 0.000, 0.500).

As for the energy: -3.338 eV/atom. As for the density of states at the Fermi level: 0.73 states/eV/atom. Its mass density is 8.5 g/cm³.


3.
This record from the Alexandria database describes a relaxed VCr3C crystal. The functional is PBE-GGA.

The space group is Pm-3m (No. 221) and the conventional cell measures 4.361, 4.361 and 4.361 Å, with angles of 90.00, 90.00 and 90.00 degrees. The inequivalent atoms are V at (0.000, 0.000, 0.000), Cr at (0.000, 0.000, 0.500) and C at (0.500, 0.500, 0.500).

As for the energy: -7.049 eV/atom. As for the density of states at the Fermi level: 0.90 states/eV/atom. Its mass density is 4.4 g/cm³.


4.
This record from the Alexandria database describes a relaxed DyY7 crystal. The functional is PBE-GGA.

The space group is Fm-3m (No. 225) and the conventional cell measures 10.086, 10.086 and 10.086 Å, with angles of 90.00, 90.00 and 90.00 degrees. The inequivalent atoms are Dy at (0.000, 0.000, 0.000), Y at (0.000, 0.000, 0.500) and Y at (0.000, 0.250, 0.250).

As for the energy: -6.205 eV/atom. As for the density of states at the Fermi level: 1.78 states/eV/atom. Its mass density is 5.1 g/cm³.